Record 1
RbNa2Bi: optimized geometry, PBE.

a b c (Å): 5.5305 5.5305 19.5922
angles (deg): 90.00 90.00 120.00
Space group R3m (No. 160, hexagonal axes)
Inequivalent atoms, fractional coordinates:
Rb: 0.0000 0.0000 0.0000
Na: 0.0000 0.0000 0.5299
Na: 0.0000 0.0000 0.8151
Bi: 0.0000 0.0000 0.1985

## Properties
The formation energy is -33 kJ per mole of atoms. The crystal system is trigonal.



Record 2
YAuS2Cl: optimized geometry, PBE.

a b c (Å): 5.3039 5.3039 5.1528
angles (deg): 90.00 90.00 90.00
Space group P4/mmm (No. 123)
Inequivalent atoms, fractional coordinates:
Y: 0.0000 0.0000 0.0000
Au: 0.5000 0.5000 0.5000
S: 0.0000 0.5000 0.0000
Cl: 0.0000 0.0000 0.5000

## Properties
The crystal system is tetragonal. As for the energy above the most stable polymorph in this dataset: 0 meV/atom. The formation energy without anion corrections is -0.42 eV/atom.



Record 3
Pa6Cr3S14: optimized geometry, PBE.

a b c (Å): 9.7311 9.7311 5.6331
angles (deg): 90.00 90.00 120.00
Space group P3 (No. 143)
Inequivalent atoms, fractional coordinates:
Pa: 0.0331 0.5588 0.0000
Pa: 0.2994 0.1042 0.4949
Cr: 0.0000 0.0000 0.8942
Cr: 0.3333 0.6667 0.3962
Cr: 0.6667 0.3333 0.2529
S: 0.0000 0.0000 0.2986
S: 0.0930 0.8395 0.7515
S: 0.1764 0.4146 0.2508
S: 0.3333 0.6667 0.7991
S: 0.4241 0.1859 0.0184
S: 0.5162 0.4240 0.4875

## Properties
The crystal system is trigonal. The formation energy without anion corrections is -1.33 eV/atom.



Record 4
NaZnAg2Br6: optimized geometry, PBE.

a b c (Å): 12.5917 15.3390 7.1546
angles (deg): 90.00 115.91 90.00
Space group C2/c (No. 15)
Inequivalent atoms, fractional coordinates:
Na: 0.0000 0.0978 0.2500
Zn: 0.0000 0.1756 0.7500
Ag: 0.1211 0.4136 0.1441
Br: 0.1148 0.2365 0.0902
Br: 0.1176 0.4153 0.5553
Br: 0.1359 0.0711 0.6951

## Properties
The crystal system is monoclinic. The formation energy without anion corrections is -0.67 eV/atom.



Record 5
TbPm5Tl: optimized geometry, PBE.

a b c (Å): 4.8079 4.8079 10.4906
angles (deg): 90.00 90.00 90.00
Space group P4/mmm (No. 123)
Inequivalent atoms, fractional coordinates:
Tb: 0.0000 0.0000 0.0000
Pm: 0.0000 0.5000 0.2567
Pm: 0.5000 0.5000 0.5000
Tl: 0.0000 0.0000 0.5000

## Properties
The formation energy is 16 kJ per mole of atoms. The crystal system is tetragonal.



Record 6
Pr8Te4P3H: optimized geometry, PBE.

a b c (Å): 8.5321 8.5321 21.9718
angles (deg): 90.00 90.00 120.00
Space group R-3m (No. 166, hexagonal axes)
Inequivalent atoms, fractional coordinates:
Pr: 0.0000 0.0000 0.2370
Pr: 0.0070 0.5035 0.7612
Te: 0.0000 0.0000 0.0000
Te: 0.0000 0.5000 0.0000
P: 0.0000 0.5000 0.5000
H: 0.0000 0.0000 0.5000

## Properties
The crystal system is trigonal. The total energy comes out at -5.757 eV/atom.



Record 7
ZrBe3Cu10: optimized geometry, PBE.

a b c (Å): 11.1372 11.1372 11.1372
angles (deg): 90.00 90.00 90.00
Space group Fm-3m (No. 225)
Inequivalent atoms, fractional coordinates:
Zr: 0.2500 0.2500 0.2500
Be: 0.0000 0.0000 0.2366
Cu: 0.0000 0.1721 0.3279
Cu: 0.1131 0.1131 0.1131

## Properties
The formation energy is 6 kJ per mole of atoms. The crystal system is cubic.



Record 8
Tb10SmY4: optimized geometry, PBE.

a b c (Å): 9.7270 9.7270 10.5290
angles (deg): 90.00 90.00 90.00
Space group I4/m (No. 87)
Inequivalent atoms, fractional coordinates:
Tb: 0.0000 0.5000 0.2500
Tb: 0.1130 0.2131 0.1592
Sm: 0.0000 0.0000 0.5000
Y: 0.0667 0.3337 0.5000

## Properties
The formation energy is 33 kJ per mole of atoms. The crystal system is tetragonal.



Record 9
CuB4Cl2: optimized geometry, PBE.

a b c (Å): 4.1876 4.1876 12.6192
angles (deg): 90.00 90.00 90.00
Space group I4/mmm (No. 139)
Inequivalent atoms, fractional coordinates:
Cu: 0.0000 0.0000 0.0000
B: 0.0000 0.0000 0.1481
B: 0.0000 0.5000 0.0000
Cl: 0.0000 0.0000 0.2808

## Properties
The crystal system is tetragonal. The formation energy without anion corrections is 1.32 eV/atom.



Record 10
Rb4HfU3Te8: optimized geometry, PBE.

a b c (Å): 8.8719 8.8719 26.0045
angles (deg): 90.00 90.00 120.00
Space group R-3m (No. 166, hexagonal axes)
Inequivalent atoms, fractional coordinates:
Rb: 0.0000 0.0000 0.0000
Rb: 0.0000 0.5000 0.0000
Hf: 0.0000 0.0000 0.5000
U: 0.0000 0.5000 0.5000
Te: 0.0000 0.0000 0.2356
Te: 0.0170 0.5085 0.2328

## Properties
The crystal system is trigonal. The formation energy without anion corrections is -0.83 eV/atom.



Record 11
Dy2Zn16Ni: optimized geometry, PBE.

a b c (Å): 8.9257 8.9257 13.1086
angles (deg): 90.00 90.00 120.00
Space group R3m (No. 160, hexagonal axes)
Inequivalent atoms, fractional coordinates:
Dy: 0.0000 0.0000 0.0000
Dy: 0.0000 0.0000 0.3330
Zn: 0.0000 0.0000 0.7602
Zn: 0.9999 0.2908 0.6623
Zn: 0.0041 0.5020 0.8147
Zn: 0.0109 0.5054 0.1628
Zn: 0.1720 0.3440 0.8463
Ni: 0.0000 0.0000 0.5636

## Properties
The formation energy is -23 kJ per mole of atoms. The crystal system is trigonal.



Record 12
UPS4: optimized geometry, PBE.

a b c (Å): 6.3437 6.3437 6.9570
angles (deg): 90.00 90.00 90.00
Space group I-4 (No. 82)
Inequivalent atoms, fractional coordinates:
U: 0.0000 0.0000 0.0000
P: 0.0000 0.5000 0.7500
S: 0.1611 0.7523 0.6264

## Properties
The crystal system is tetragonal. The formation energy without anion corrections is -0.52 eV/atom.



no.,DOS at the Fermi energy (states/eV per cell)
1,2.6
2,4.4
3,25.7
4,37.4
5,9.9
6,24.9
7,47.6
8,45.3
9,6.5
10,55.7
11,22.0
12,13.7